A plane-wave DFT calculation with GGA-PBE was carried out for ScNi3I after structural relaxation.

formation energy (no corrections) = 0.73 eV/atom
ΔE to the lowest computed polymorph = 0 meV/atom
uncorrected energy = -4.311 eV per atom

```
data_ScNi3I
_space_group_name_H-M_alt 'P 1'
_space_group_IT_number 1
_cell_length_a 4.6092
_cell_length_b 4.6092
_cell_length_c 4.6092
_cell_angle_alpha 90.00
_cell_angle_beta 90.00
_cell_angle_gamma 90.00
loop_
_space_group_symop_operation_xyz
'x,y,z'
loop_
_atom_site_label
_atom_site_type_symbol
_atom_site_fract_x
_atom_site_fract_y
_atom_site_fract_z
Ni1 Ni 0.0000 0.5000 0.0000
Ni2 Ni 0.0000 0.0000 0.5000
Ni3 Ni 0.5000 0.0000 0.0000
Sc1 Sc 0.5000 0.5000 0.5000
I1 I 0.0000 0.0000 0.0000
```


A plane-wave DFT calculation with GGA-PBE was carried out for LiSm3Ge3 after structural relaxation.

uncorrected energy = -5.038 eV per atom

```
data_LiSm3Ge3
_space_group_name_H-M_alt 'P 1'
_space_group_IT_number 1
_cell_length_a 4.3874
_cell_length_b 5.9262
_cell_length_c 13.5504
_cell_angle_alpha 84.33
_cell_angle_beta 80.68
_cell_angle_gamma 68.27
loop_
_space_group_symop_operation_xyz
'x,y,z'
loop_
_atom_site_label
_atom_site_type_symbol
_atom_site_fract_x
_atom_site_fract_y
_atom_site_fract_z
Sm1 Sm 0.3993 0.2788 0.9226
Sm2 Sm 0.2536 0.2700 0.2228
Sm3 Sm 0.7464 0.7300 0.7772
Sm4 Sm 0.6007 0.7212 0.0774
Sm5 Sm 0.4658 0.6874 0.3810
Sm6 Sm 0.5342 0.3126 0.6190
Ge1 Ge 0.1245 0.3016 0.4493
Ge2 Ge 0.8755 0.6984 0.5507
Ge3 Ge 0.8803 0.1629 0.0765
Ge4 Ge 0.9626 0.8437 0.2311
Ge5 Ge 0.0374 0.1563 0.7689
Ge6 Ge 0.1197 0.8371 0.9235
Li1 Li 0.7557 0.0823 0.4064
Li2 Li 0.2443 0.9177 0.5936
```


A plane-wave DFT calculation with GGA-PBE was carried out for AcHo8Tl6 after structural relaxation.

uncorrected energy = -3.771 eV per atom

```
data_AcHo8Tl6
_space_group_name_H-M_alt 'P 1'
_space_group_IT_number 1
_cell_length_a 9.2207
_cell_length_b 9.2207
_cell_length_c 8.3797
_cell_angle_alpha 56.62
_cell_angle_beta 56.62
_cell_angle_gamma 60.00
loop_
_space_group_symop_operation_xyz
'x,y,z'
loop_
_atom_site_label
_atom_site_type_symbol
_atom_site_fract_x
_atom_site_fract_y
_atom_site_fract_z
Ho1 Ho 0.5607 0.2218 0.3291
Ho2 Ho 0.4393 0.7782 0.6709
Ho3 Ho 0.8884 0.5607 0.3291
Ho4 Ho 0.6683 0.6683 0.9951
Ho5 Ho 0.7782 0.1116 0.6709
Ho6 Ho 0.3317 0.3317 0.0049
Ho7 Ho 0.1116 0.4393 0.6709
Ho8 Ho 0.2218 0.8884 0.3291
Tl1 Tl 0.5885 0.9346 0.1953
Tl2 Tl 0.0654 0.7184 0.8047
Tl3 Tl 0.4115 0.0654 0.8047
Tl4 Tl 0.7184 0.4115 0.8047
Tl5 Tl 0.2816 0.5885 0.1953
Tl6 Tl 0.9346 0.2816 0.1953
Ac1 Ac 0.0000 0.0000 0.0000
```


A plane-wave DFT calculation with GGA-PBE was carried out for YThCu after structural relaxation.

ΔE to the lowest computed polymorph = 0 meV/atom
uncorrected energy = -6.098 eV per atom

```
data_YThCu
_space_group_name_H-M_alt 'P 1'
_space_group_IT_number 1
_cell_length_a 4.6582
_cell_length_b 3.6900
_cell_length_c 9.0171
_cell_angle_alpha 78.19
_cell_angle_beta 90.00
_cell_angle_gamma 90.00
loop_
_space_group_symop_operation_xyz
'x,y,z'
loop_
_atom_site_label
_atom_site_type_symbol
_atom_site_fract_x
_atom_site_fract_y
_atom_site_fract_z
Y1 Y 0.2500 0.9145 0.1711
Y2 Y 0.7500 0.0855 0.8289
Cu1 Cu 0.7500 0.4605 0.0790
Cu2 Cu 0.2500 0.5395 0.9210
Th1 Th 0.2500 0.7068 0.5863
Th2 Th 0.7500 0.2932 0.4137
```


A plane-wave DFT calculation with GGA-PBE was carried out for Ce2CdP after structural relaxation.

ΔE to the lowest computed polymorph = 0 meV/atom
uncorrected energy = -5.241 eV per atom

```
data_Ce2CdP
_space_group_name_H-M_alt 'P 1'
_space_group_IT_number 1
_cell_length_a 3.9381
_cell_length_b 3.9381
_cell_length_c 8.5889
_cell_angle_alpha 76.75
_cell_angle_beta 76.75
_cell_angle_gamma 60.00
loop_
_space_group_symop_operation_xyz
'x,y,z'
loop_
_atom_site_label
_atom_site_type_symbol
_atom_site_fract_x
_atom_site_fract_y
_atom_site_fract_z
Cd1 Cd 0.5002 0.5002 0.4994
Ce1 Ce 0.2663 0.2663 0.2010
Ce2 Ce 0.0667 0.0667 0.7999
P1 P 0.6668 0.6668 0.9997
```


A plane-wave DFT calculation with GGA-PBE was carried out for Zn7Ga2Cu2 after structural relaxation.

uncorrected energy = -2.113 eV per atom

```
data_Zn7Ga2Cu2
_space_group_name_H-M_alt 'P 1'
_space_group_IT_number 1
_cell_length_a 6.4281
_cell_length_b 5.1707
_cell_length_c 5.1707
_cell_angle_alpha 98.01
_cell_angle_beta 82.59
_cell_angle_gamma 82.59
loop_
_space_group_symop_operation_xyz
'x,y,z'
loop_
_atom_site_label
_atom_site_type_symbol
_atom_site_fract_x
_atom_site_fract_y
_atom_site_fract_z
Zn1 Zn 0.8183 0.8967 0.5213
Zn2 Zn 0.0000 0.0000 0.0000
Zn3 Zn 0.1817 0.1033 0.4787
Zn4 Zn 0.1817 0.4787 0.1033
Zn5 Zn 0.8183 0.5213 0.8967
Zn6 Zn 0.4139 0.8507 0.8507
Zn7 Zn 0.5861 0.1493 0.1493
Ga1 Ga 0.5000 0.3136 0.6864
Ga2 Ga 0.5000 0.6864 0.3136
Cu1 Cu 0.8493 0.3827 0.3827
Cu2 Cu 0.1507 0.6173 0.6173
```


A plane-wave DFT calculation with GGA-PBE was carried out for Er5CdTe5 after structural relaxation.

formation energy (no corrections) = -1.10 eV/atom
uncorrected energy = -4.682 eV per atom

```
data_Er5CdTe5
_space_group_name_H-M_alt 'P 1'
_space_group_IT_number 1
_cell_length_a 6.1274
_cell_length_b 7.4909
_cell_length_c 8.5592
_cell_angle_alpha 106.75
_cell_angle_beta 90.00
_cell_angle_gamma 114.14
loop_
_space_group_symop_operation_xyz
'x,y,z'
loop_
_atom_site_label
_atom_site_type_symbol
_atom_site_fract_x
_atom_site_fract_y
_atom_site_fract_z
Te1 Te 0.0000 0.0000 0.5000
Te2 Te 0.3347 0.6695 0.1714
Te3 Te 0.6653 0.3305 0.8286
Te4 Te 0.6686 0.3373 0.3370
Te5 Te 0.3314 0.6627 0.6630
Er1 Er 0.8351 0.6702 0.1676
Er2 Er 0.8358 0.6715 0.6669
Er3 Er 0.1642 0.3285 0.3331
Er4 Er 0.5000 0.0000 0.0000
Er5 Er 0.1649 0.3298 0.8324
Cd1 Cd 0.0000 0.0000 0.0000
```


A plane-wave DFT calculation with GGA-PBE was carried out for Fe2NiAu after structural relaxation.

ΔE to the lowest computed polymorph = 61 meV/atom
uncorrected energy = -6.374 eV per atom

```
data_Fe2NiAu
_space_group_name_H-M_alt 'P 1'
_space_group_IT_number 1
_cell_length_a 4.6244
_cell_length_b 4.6244
_cell_length_c 2.7019
_cell_angle_alpha 89.93
_cell_angle_beta 89.93
_cell_angle_gamma 111.43
loop_
_space_group_symop_operation_xyz
'x,y,z'
loop_
_atom_site_label
_atom_site_type_symbol
_atom_site_fract_x
_atom_site_fract_y
_atom_site_fract_z
Fe1 Fe 0.5000 0.5000 0.0000
Fe2 Fe 0.0000 0.0000 0.0000
Au1 Au 0.0000 0.5000 0.5000
Ni1 Ni 0.5000 0.0000 0.5000
```